# PmNdRh | the Alexandria database | PBE | relaxed
# formation energy from the elements	-0.4609	eV/atom
# E above lowest polymorph	0.05	eV/f.u.
# size of the total moment	0.000	μB per atom
data_PmNdRh
_chemical_formula_sum 'Pm1 Nd1 Rh1'
_symmetry_space_group_name_H-M 'P 1'
_symmetry_Int_Tables_number 1
_cell_length_a 4.937
_cell_length_b 4.937
_cell_length_c 4.937
_cell_angle_alpha 60.00
_cell_angle_beta 60.00
_cell_angle_gamma 60.00
loop_
_symmetry_equiv_pos_as_xyz
'x,y,z'
loop_
_atom_site_label
_atom_site_fract_x
_atom_site_fract_y
_atom_site_fract_z
_atom_site_occupancy
Rh1 0.250 0.250 0.250 1
Nd1 0.000 0.000 0.000 1
Pm1 0.500 0.500 0.500 1